Density functional theory data (PBE with a Hubbard U) for NiMoF2 after structural relaxation.

The structure in POSCAR format:
```
NiMoF2
1.0
1.600 0.000 8.532
-0.800 1.385 8.532
-0.800 -1.385 8.532
Mo Ni F
1 1 2
Cartesian
0.000 0.000 12.798
0.000 0.000 0.000
0.000 0.000 22.862
0.000 0.000 2.735
```

Calculated values
The value obtained for the density of states at the Fermi level is 1.0 states/eV per cell. As for the polymorph energy (0 for the lowest one): 0.65 eV per formula unit.